# RbCd2Cu2

Crystalline RbCd2Cu2 at its relaxed geometry (PBE, Alexandria).

a = 6.353 Å, b = 6.353 Å, c = 6.353 Å
α = 134.65°, β = 134.65°, γ = 66.07°
Positions (direct):
Rb 0.000 0.000 0.000
Cd 0.355 0.355 0.000
Cd 0.645 0.645 0.000
Cu 0.250 0.750 0.500
Cu 0.750 0.250 0.500

## Properties
As for the spin magnetization: 0.00 μB/cell. The value obtained for the electronic total energy is -2.0005 eV/atom. The calculation puts the density at 5.684 g/cm3. The excess energy over the best structure of this formula in the dataset is 0.017 eV/atom. The density of states at the Fermi level comes out at 1.89 states/eV/f.u.

***

# Tb2Al2GeRu5

Crystalline Tb2Al2GeRu5 at its relaxed geometry (PBE, Alexandria).

a = 10.051 Å, b = 10.051 Å, c = 3.294 Å
α = 90.00°, β = 90.00°, γ = 90.00°
Positions (direct):
Tb 0.171 0.329 0.000
Tb 0.329 0.829 0.000
Tb 0.671 0.171 0.000
Tb 0.829 0.671 0.000
Al 0.129 0.629 0.000
Al 0.371 0.129 0.000
Al 0.629 0.871 0.000
Al 0.871 0.371 0.000
Ge 0.000 0.000 0.000
Ge 0.500 0.500 0.000
Ru 0.000 0.500 0.500
Ru 0.061 0.805 0.500
Ru 0.195 0.061 0.500
Ru 0.305 0.561 0.500
Ru 0.439 0.305 0.500
Ru 0.500 0.000 0.500
Ru 0.561 0.695 0.500
Ru 0.695 0.439 0.500
Ru 0.805 0.939 0.500
Ru 0.939 0.195 0.500

## Properties
As for the spin magnetization: 2.23 μB/cell. The value obtained for the electronic total energy is -7.1680 eV/atom. The calculation puts the density at 9.481 g/cm3. The density of states at the Fermi level comes out at 9.83 states/eV/f.u.